No. 1
The following is a PBE calculation of Ca2Nd15Tm2 after structural relaxation, from the Alexandria database.

Calculated values
The symmetry is R-3m, No. 166. The raw total energy comes out at -4.221 eV/atom.

Cell: 8.984 8.984 8.984 Å, 81.12 81.12 81.12°
Fractional coordinates of all 19 atoms:
Nd (0.147, 0.637, 0.637)
Nd (0.000, 0.293, 0.707)
Nd (0.363, 0.363, 0.853)
Nd (0.707, 0.293, 0.000)
Nd (0.853, 0.363, 0.363)
Nd (0.707, 0.000, 0.293)
Nd (0.293, 0.707, 0.000)
Nd (0.637, 0.637, 0.147)
Nd (0.637, 0.147, 0.637)
Nd (0.000, 0.500, 0.000)
Nd (0.000, 0.000, 0.500)
Nd (0.293, 0.000, 0.707)
Nd (0.500, 0.000, 0.000)
Nd (0.000, 0.707, 0.293)
Nd (0.363, 0.853, 0.363)
Tm (0.095, 0.095, 0.095)
Tm (0.905, 0.905, 0.905)
Ca (0.670, 0.670, 0.670)
Ca (0.330, 0.330, 0.330)



No. 2
The following is a PBE calculation of CaNd2Tm2 after structural relaxation, from the Alexandria database.

Calculated values
The symmetry is Cmmm, No. 65. The raw total energy comes out at -4.061 eV/atom.

Cell: 5.536 3.553 9.250 Å, 90.01 107.41 90.00°
Fractional coordinates of all 5 atoms:
Tm (0.201, 0.500, 0.402)
Tm (0.799, 0.500, 0.598)
Ca (0.000, 0.500, 0.000)
Nd (0.377, 0.000, 0.753)
Nd (0.623, 0.000, 0.247)



No. 3
The following is a PBE calculation of CaNd6Tm2 after structural relaxation, from the Alexandria database.

Calculated values
The symmetry is P-6m2, No. 187. The raw total energy comes out at -4.333 eV/atom.

Cell: 3.658 3.658 27.364 Å, 90.00 90.00 120.00°
Fractional coordinates of all 9 atoms:
Nd (0.667, 0.333, 0.434)
Nd (0.333, 0.667, 0.882)
Nd (0.667, 0.333, 0.226)
Nd (0.333, 0.667, 0.118)
Nd (0.667, 0.333, 0.566)
Nd (0.667, 0.333, 0.774)
Tm (0.333, 0.667, 0.332)
Tm (0.333, 0.667, 0.668)
Ca (0.667, 0.333, 0.000)